No. 1
{
  "formula": "CaBeSi2Sb",
  "functional": "PBE",
  "state": "relaxed",
  "m_tot_mub_per_cell": 0.00,
  "e_tot_ev_per_cell": -16.8,
  "lattice": [[5.4227, 0.0000, 0.0000], [0.0000, 4.4329, 0.0000], [0.0000, 0.0000, 5.4227]],
  "species": ["Si", "Si", "Ca", "Sb", "Be"],
  "fractional_positions": [[0.5000, 0.0000, 0.0000], [0.0000, 0.0000, 0.5000], [0.5000, 0.5000, 0.5000], [0.0000, 0.0000, 0.0000], [0.0000, 0.5000, 0.0000]]
}

***

No. 2
{
  "formula": "Li6Nd6SbTe3O24",
  "functional": "PBE",
  "state": "relaxed",
  "m_tot_mub_per_cell": 1.82,
  "e_tot_ev_per_cell": -528.3,
  "lattice": [[-7.2764, 5.9039, -5.7953], [0.2831, -10.3001, -3.9008], [-3.0210, -0.1616, 10.6188]],
  "species": ["O", "O", "O", "O", "O", "O", "O", "O", "O", "O", "O", "O", "O", "O", "O", "O", "O", "O", "O", "O", "O", "O", "O", "O", "O", "O", "O", "O", "O", "O", "O", "O", "O", "O", "O", "O", "O", "O", "O", "O", "O", "O", "O", "O", "O", "O", "O", "O", "Nd", "Nd", "Nd", "Nd", "Nd", "Nd", "Nd", "Nd", "Nd", "Nd", "Nd", "Nd", "Li", "Li", "Li", "Li", "Li", "Li", "Li", "Li", "Li", "Li", "Li", "Li", "Te", "Te", "Te", "Te", "Te", "Te", "Sb", "Sb"],
  "fractional_positions": [[0.6934, 0.1693, 0.0761], [0.3787, 0.8002, 0.4727], [0.9067, 0.5235, 0.3306], [0.1698, 0.6934, 0.5769], [0.8079, 0.3842, 0.9787], [0.9777, 0.1705, 0.0944], [0.0236, 0.6932, 0.1169], [0.1701, 0.9766, 0.5937], [0.1164, 0.0929, 0.9231], [0.4206, 0.3280, 0.7994], [0.8071, 0.9239, 0.8306], [0.4714, 0.8788, 0.2994], [0.3066, 0.8307, 0.9239], [0.6172, 0.9237, 0.0937], [0.5794, 0.6720, 0.2006], [0.1921, 0.6158, 0.0213], [0.6213, 0.1998, 0.5273], [0.9240, 0.8075, 0.3297], [0.5222, 0.9057, 0.8297], [0.1163, 0.5224, 0.1921], [0.9764, 0.3068, 0.8831], [0.6697, 0.5758, 0.6921], [0.4064, 0.5791, 0.8789], [0.3828, 0.0763, 0.9063], [0.4778, 0.0943, 0.1703], [0.9238, 0.6167, 0.5944], [0.4238, 0.5934, 0.6169], [0.8302, 0.3066, 0.4231], [0.3275, 0.4060, 0.0273], [0.8299, 0.0234, 0.4063], [0.5286, 0.1212, 0.7006], [0.5936, 0.4209, 0.1211], [0.2998, 0.9725, 0.3789], [0.5762, 0.4066, 0.3831], [0.0762, 0.3833, 0.4056], [0.5945, 0.6707, 0.4787], [0.0932, 0.1173, 0.4239], [0.0223, 0.8295, 0.9056], [0.8836, 0.9071, 0.0769], [0.0933, 0.4765, 0.6694], [0.4055, 0.3293, 0.5213], [0.6725, 0.5940, 0.9727], [0.7002, 0.0275, 0.6211], [0.1929, 0.0761, 0.1694], [0.9068, 0.8827, 0.5761], [0.0760, 0.1925, 0.6703], [0.3303, 0.4242, 0.3079], [0.8837, 0.4776, 0.8079], [0.3754, 0.2516, 0.1251], [0.7497, 0.1251, 0.8736], [0.2514, 0.3760, 0.6264], [0.1248, 0.8748, 0.7500], [0.2503, 0.8749, 0.1264], [0.3759, 0.6259, 0.2500], [0.8752, 0.1252, 0.2500], [0.1265, 0.7503, 0.3749], [0.8735, 0.2497, 0.6251], [0.7486, 0.6240, 0.3736], [0.6246, 0.7484, 0.8749], [0.6241, 0.3741, 0.7500], [0.1248, 0.2503, 0.8762], [0.6243, 0.8743, 0.2500], [0.7502, 0.3745, 0.1265], [0.7520, 0.8763, 0.6265], [0.3757, 0.1257, 0.7500], [0.2480, 0.1237, 0.3735], [0.8747, 0.6247, 0.7500], [0.1253, 0.3753, 0.2500], [0.2498, 0.6255, 0.8735], [0.3741, 0.7486, 0.6238], [0.8752, 0.7497, 0.1238], [0.6259, 0.2514, 0.3762], [0.0000, 0.5000, 0.5000], [0.0000, 0.0000, 0.0000], [0.5000, 0.0000, 0.0000], [0.0000, 0.0000, 0.5000], [0.5000, 0.5000, 0.5000], [0.0000, 0.5000, 0.0000], [0.5000, 0.0000, 0.5000], [0.5000, 0.5000, 0.0000]]
}